This record from the Alexandria database describes CoPb3Cl2F6 after structural relaxation. The functional is PBE+U.

Structure (CIF):
```
data_CoPb3Cl2F6
_cell_length_a 5.568
_cell_length_b 7.109
_cell_length_c 7.368
_cell_angle_alpha 118.84
_cell_angle_beta 83.52
_cell_angle_gamma 90.00
_symmetry_space_group_name_H-M 'P 1'
_symmetry_Int_Tables_number 1
_symmetry_space_group_name_Hall 'P 1'
loop_
_atom_site_label
_atom_site_type_symbol
_atom_site_fract_x
_atom_site_fract_y
_atom_site_fract_z
_atom_site_occupancy
Co1 Co 0.500 0.000 0.000 1
F1 F 0.335 0.147 0.293 1
F2 F 0.695 0.301 0.125 1
Cl1 Cl 0.120 0.707 0.415 1
F3 F 0.695 0.824 0.125 1
Cl2 Cl 0.880 0.293 0.585 1
F4 F 0.665 0.853 0.707 1
F5 F 0.305 0.699 0.875 1
F6 F 0.305 0.176 0.875 1
Pb1 Pb 0.000 0.500 0.000 1
Pb2 Pb 0.500 0.000 0.500 1
Pb3 Pb 0.500 0.500 0.500 1
```

Symmetry: C2/m
VASP energy in eV/cell: -53.77